(1)
Material: Mg2SbPb
Method: DFT, GGA-PBE
State: relaxed

Output
density of states at the Fermi level = 1.01 states/eV per cell
total moment = 0.00 μB/atom
calculated total energy = -11.50 eV/f.u.

a b c (Å): 5.0653 5.0653 5.7240
angles (deg): 74.74 74.74 47.72
Last column: nearest neighbours and their distance in Å.
Positions (direct):
Pb 0.7500 0.7500 0.7500  6 Mg 3.04-3.19
Sb 0.2500 0.2500 0.2500  6 Mg 3.05-3.07
Mg 0.5086 0.5086 0.4850  3 Pb 3.04-3.19, 3 Sb 3.05-3.07
Mg 0.9914 0.9914 0.0150  3 Pb 3.04-3.19, 3 Sb 3.05-3.07

---

(2)
Material: MnTc2
Method: DFT, GGA-PBE
State: relaxed

Output
density of states at the Fermi level = 6.72 states/eV per cell
ΔH_f (0 K) = 0.1087 eV/atom
total moment = 0.38 μB/atom
calculated total energy = -29.58 eV/f.u.

a b c (Å): 6.0065 6.0065 3.7994
angles (deg): 90.00 90.00 143.49
Last column: nearest neighbours and their distance in Å.
Positions (direct):
Tc 0.5796 0.4204 0.7500  6 Mn 2.63-2.67, 6 Tc 2.63-2.73
Mn 0.9187 0.0813 0.7500  10 Tc 2.63-2.70, 2 Mn 2.65
Tc 0.7512 0.2488 0.2500  8 Tc 2.67-2.73, 4 Mn 2.69-2.70
Tc 0.2488 0.7512 0.7500  8 Tc 2.67-2.73, 4 Mn 2.69-2.70
Tc 0.4204 0.5796 0.2500  6 Mn 2.63-2.67, 6 Tc 2.63-2.73
Mn 0.0813 0.9187 0.2500  10 Tc 2.63-2.70, 2 Mn 2.65

---

Number 1: ΔE to the lowest computed polymorph 0.04 eV per formula unit. Number 2: ΔE to the lowest computed polymorph 0.32 eV per formula unit.